LiAc3Ga after structural relaxation. Source: Alexandria via LeMat-Bulk, functional PBE-GGA.

Results
- symmetry = P2_1/c, No. 14
- total moment (μB per formula unit) = 0.0
- energy of formation from the pure elements (eV/atom) = -0.137
- final energy (eV per atom) = -3.590
- V (A^3/atom) = 34.70

```
data_LiAc3Ga
_chemical_formula_sum 'Li4 Ac12 Ga4'
_symmetry_space_group_name_H-M 'P 1'
_symmetry_Int_Tables_number 1
_cell_length_a 7.396
_cell_length_b 8.605
_cell_length_c 10.928
_cell_angle_alpha 90.00
_cell_angle_beta 93.67
_cell_angle_gamma 90.00
loop_
_symmetry_equiv_pos_as_xyz
'x,y,z'
loop_
_atom_site_label
_atom_site_type_symbol
_atom_site_fract_x
_atom_site_fract_y
_atom_site_fract_z
Li1 Li 0.084 0.187 0.070
Li2 Li 0.084 0.313 0.570
Li3 Li 0.916 0.687 0.430
Li4 Li 0.916 0.813 0.930
Ac1 Ac 0.203 0.023 0.775
Ac2 Ac 0.203 0.477 0.275
Ac3 Ac 0.281 0.038 0.409
Ac4 Ac 0.281 0.462 0.909
Ac5 Ac 0.330 0.643 0.602
Ac6 Ac 0.330 0.857 0.102
Ac7 Ac 0.670 0.143 0.898
Ac8 Ac 0.670 0.357 0.398
Ac9 Ac 0.719 0.538 0.091
Ac10 Ac 0.719 0.962 0.591
Ac11 Ac 0.797 0.523 0.725
Ac12 Ac 0.797 0.977 0.225
Ga1 Ga 0.449 0.222 0.140
Ga2 Ga 0.449 0.278 0.640
Ga3 Ga 0.551 0.722 0.360
Ga4 Ga 0.551 0.778 0.860
```

=====

Ge3Ru after structural relaxation. Source: Alexandria via LeMat-Bulk, functional PBE-GGA.

Results
- symmetry = Imm2, No. 44
- total moment (μB per formula unit) = 0.0
- energy of formation from the pure elements (eV/atom) = -0.026
- final energy (eV per atom) = -5.808
- V (A^3/atom) = 16.83

```
data_Ge3Ru
_chemical_formula_sum 'Ge6 Ru2'
_symmetry_space_group_name_H-M 'P 1'
_symmetry_Int_Tables_number 1
_cell_length_a 3.066
_cell_length_b 7.862
_cell_length_c 5.583
_cell_angle_alpha 90.00
_cell_angle_beta 90.00
_cell_angle_gamma 90.00
loop_
_symmetry_equiv_pos_as_xyz
'x,y,z'
loop_
_atom_site_label
_atom_site_type_symbol
_atom_site_fract_x
_atom_site_fract_y
_atom_site_fract_z
Ge1 Ge 0.000 0.000 0.000
Ge2 Ge 0.000 0.191 0.632
Ge3 Ge 0.000 0.809 0.632
Ge4 Ge 0.500 0.309 0.132
Ge5 Ge 0.500 0.500 0.500
Ge6 Ge 0.500 0.691 0.132
Ru1 Ru 0.000 0.500 0.850
Ru2 Ru 0.500 0.000 0.350
```